Material: K2CrF6
Method: DFT, PBE+U
State: optimized geometry

a b c (Å): 5.9133 5.9133 5.9133
angles (deg): 60.00 60.00 60.00
Fractional positions:
K 0.2500 0.2500 0.2500
K 0.7500 0.7500 0.7500
Cr 0.0000 0.0000 0.0000
F 0.2231 0.2231 0.7769
F 0.2231 0.7769 0.2231
F 0.2231 0.7769 0.7769
F 0.7769 0.2231 0.2231
F 0.7769 0.2231 0.7769
F 0.7769 0.7769 0.2231

Properties
E: -4.95 eV/atom
M_tot: 0.2222 μB per atom
Density of states at the Fermi level: 1.1625 states/eV/atom